The following is a DFT calculation (GGA-PBE) of an optimized crystal structure of IrRh3.

Computed properties:
Its total moment is 0.00 μB per cell. The value obtained for the volume is 61.5 Å³/f.u. The calculation puts the density of states at the Fermi level at 12.9 states/eV per cell. Its formation energy is 0.311 eV/atom.

Lattice parameters (Å, degrees): 5.1779 5.1779 4.5857 90.00 90.00 90.01
Closest atoms and distances in Å follow each position.
Fractional positions:
1 Ir 0.0848 0.9152 0.7500  5 Rh 2.52-2.73, 2 Ir 2.61
2 Ir 0.9152 0.0848 0.2500  5 Rh 2.52-2.73, 2 Ir 2.61
3 Rh 0.0660 0.5896 0.2500  5 Rh 2.52-2.74, 2 Ir 2.68-2.73
4 Rh 0.4104 0.9340 0.2500  5 Rh 2.52-2.74, 2 Ir 2.68-2.73
5 Rh 0.4293 0.5707 0.7500  6 Rh 2.52-2.74, 1 Ir 2.52
6 Rh 0.5707 0.4293 0.2500  6 Rh 2.52-2.74, 1 Ir 2.52
7 Rh 0.5896 0.0660 0.7500  5 Rh 2.52-2.74, 2 Ir 2.68-2.73
8 Rh 0.9340 0.4104 0.7500  5 Rh 2.52-2.74, 2 Ir 2.68-2.73